Entry i
# CsRbZnH2 (PBE-GGA, optimized geometry)
data_CsRbZnH2
_chemical_formula_sum 'Cs1 Rb1 Zn1 H2'
_cell_length_a 5.949
_cell_length_b 5.949
_cell_length_c 6.446
_cell_angle_alpha 120.09
_cell_angle_beta 120.09
_cell_angle_gamma 63.89
_symmetry_space_group_name_H-M 'P 1'
_symmetry_Int_Tables_number 1
_symmetry_space_group_name_Hall 'P 1'
loop_
_atom_site_label
_atom_site_fract_x
_atom_site_fract_y
_atom_site_fract_z
Cs1 0.000 0.000 0.000
Rb1 0.508 0.508 0.477
Zn1 0.253 0.253 0.713
H1 0.060 0.472 0.537
H2 0.472 0.060 0.537
# Magnetization: 0.00 μB/cell
# Density: 2.87 g cm⁻³

Entry ii
# CsRbZnH2 (PBE-GGA, optimized geometry)
data_CsRbZnH2
_chemical_formula_sum 'Cs1 Rb1 Zn1 H2'
_cell_length_a 4.782
_cell_length_b 5.887
_cell_length_c 7.592
_cell_angle_alpha 88.62
_cell_angle_beta 71.67
_cell_angle_gamma 89.99
_symmetry_space_group_name_H-M 'P 1'
_symmetry_Int_Tables_number 1
_symmetry_space_group_name_Hall 'P 1'
loop_
_atom_site_label
_atom_site_fract_x
_atom_site_fract_y
_atom_site_fract_z
Cs1 0.000 0.000 0.000
Rb1 0.735 0.515 0.533
Zn1 0.282 0.019 0.437
H1 0.400 0.688 0.201
H2 0.438 0.596 0.125
# Magnetization: 0.00 μB/cell
# Density: 2.34 g cm⁻³

Sorted by energy, starting with the most stable: entry i, entry ii.